# TmInAu (PBE-GGA, relaxed)
data_TmInAu
_chemical_formula_sum 'Tm2 In2 Au2'
_symmetry_space_group_name_H-M 'I 4 m m'
_symmetry_Int_Tables_number 107
_symmetry_space_group_name_Hall 'I 4 -2'
_cell_length_a 3.454
_cell_length_b 3.454
_cell_length_c 11.558
_cell_angle_alpha 90.00
_cell_angle_beta 90.00
_cell_angle_gamma 90.00
loop_
_atom_site_label
_atom_site_fract_x
_atom_site_fract_y
_atom_site_fract_z
Tm1 0.000 0.000 0.000
In1 0.000 0.000 0.694
Au1 0.000 0.000 0.353
# Crystal system = tetragonal
# Magnetic moment = 0.00 μB per cell
# Formation enthalpy at 0 K = -1.6 eV/f.u.